# TiHO2F, optimized geometry, DFT GGA-PBEsol
# DOS(E_F): 1.64 states/eV/cell
# Size of the total moment: 0.00 Bohr magnetons per cell
# Energy: -6.003 eV per atom
data_TiHO2F
_chemical_formula_sum 'Ti1 H1 O2 F1'
_space_group_name_H-M_alt 'P 4/m m m'
_space_group_IT_number 123
_space_group_name_Hall '-P 4 2'
_cell_length_a 3.4339
_cell_length_b 3.4339
_cell_length_c 2.9429
_cell_angle_alpha 90.00
_cell_angle_beta 90.00
_cell_angle_gamma 90.00
loop_
_atom_site_label
_atom_site_type_symbol
_atom_site_fract_x
_atom_site_fract_y
_atom_site_fract_z
Ti1 Ti 0.0000 0.0000 0.0000
H1 H 0.5000 0.5000 0.5000
O1 O 0.0000 0.5000 0.5000
F1 F 0.5000 0.5000 0.0000



# TiH6O2F6, optimized geometry, DFT GGA-PBEsol
# DOS(E_F): 0.00 states/eV/cell
# Size of the total moment: 0.00 Bohr magnetons per cell
# Energy: -5.366 eV per atom
data_TiH6O2F6
_chemical_formula_sum 'Ti1 H6 O2 F6'
_space_group_name_H-M_alt 'P 3 2 1'
_space_group_IT_number 150
_space_group_name_Hall 'P 3 2"'
_cell_length_a 5.4035
_cell_length_b 5.4035
_cell_length_c 5.8412
_cell_angle_alpha 90.00
_cell_angle_beta 90.00
_cell_angle_gamma 120.00
loop_
_atom_site_label
_atom_site_type_symbol
_atom_site_fract_x
_atom_site_fract_y
_atom_site_fract_z
Ti1 Ti 0.0000 0.0000 0.0000
H1 H 0.1514 0.6649 0.7212
O1 O 0.3333 0.6667 0.6678
F1 F 0.0960 0.7855 0.1968



# TlHO2F, optimized geometry, DFT GGA-PBEsol
# DOS(E_F): 8.60 states/eV/cell
# Size of the total moment: 2.12 Bohr magnetons per cell
# Energy: -3.233 eV per atom
data_TlHO2F
_chemical_formula_sum 'Tl1 H1 O2 F1'
_space_group_name_H-M_alt 'P 4/m m m'
_space_group_IT_number 123
_space_group_name_Hall '-P 4 2'
_cell_length_a 4.2319
_cell_length_b 4.2319
_cell_length_c 4.4535
_cell_angle_alpha 90.00
_cell_angle_beta 90.00
_cell_angle_gamma 90.00
loop_
_atom_site_label
_atom_site_type_symbol
_atom_site_fract_x
_atom_site_fract_y
_atom_site_fract_z
Tl1 Tl 0.0000 0.0000 0.0000
H1 H 0.5000 0.5000 0.5000
O1 O 0.0000 0.5000 0.0000
F1 F 0.0000 0.0000 0.5000



# VH6O3F3, optimized geometry, DFT GGA-PBEsol
# DOS(E_F): 5.70 states/eV/cell
# Size of the total moment: 6.00 Bohr magnetons per cell
# Energy: -5.558 eV per atom
data_VH6O3F3
_chemical_formula_sum 'V3 H18 O9 F9'
_space_group_name_H-M_alt 'R 3 m'
_space_group_IT_number 160
_space_group_name_Hall 'R 3 -2"'
_cell_length_a 7.0839
_cell_length_b 7.0839
_cell_length_c 8.3209
_cell_angle_alpha 90.00
_cell_angle_beta 90.00
_cell_angle_gamma 120.00
loop_
_atom_site_label
_atom_site_type_symbol
_atom_site_fract_x
_atom_site_fract_y
_atom_site_fract_z
V1 V 0.0000 0.0000 0.0000
H1 H 0.0154 0.3892 0.1724
O1 O 0.2006 0.4013 0.5336
F1 F 0.0736 0.5368 0.8029



Repeat the first record exactly.
# TiHO2F, optimized geometry, DFT GGA-PBEsol
# DOS(E_F): 1.64 states/eV/cell
# Size of the total moment: 0.00 Bohr magnetons per cell
# Energy: -6.003 eV per atom
data_TiHO2F
_chemical_formula_sum 'Ti1 H1 O2 F1'
_space_group_name_H-M_alt 'P 4/m m m'
_space_group_IT_number 123
_space_group_name_Hall '-P 4 2'
_cell_length_a 3.4339
_cell_length_b 3.4339
_cell_length_c 2.9429
_cell_angle_alpha 90.00
_cell_angle_beta 90.00
_cell_angle_gamma 90.00
loop_
_atom_site_label
_atom_site_type_symbol
_atom_site_fract_x
_atom_site_fract_y
_atom_site_fract_z
Ti1 Ti 0.0000 0.0000 0.0000
H1 H 0.5000 0.5000 0.5000
O1 O 0.0000 0.5000 0.5000
F1 F 0.5000 0.5000 0.0000



- Which value of size of the total moment does entry 3 give?
  2.12 Bohr magnetons per cell